Material: RbTaCrO4
Method: DFT, PBE+U
State: relaxed

Its uncorrected energy is -7.85 eV per atom. The calculation puts the mass density at 4.75 g cm⁻³. The value obtained for the total moment is 4.0 μB per formula unit. The value obtained for the density of states at the Fermi level is 0.000 states/eV/cell.

The structure belongs to space group P2_1/m (No. 11); the cell edges are 5.7390, 5.9751 and 8.2597 Å and the angles 90.00°, 109.34° and 90.00°. Symmetry generates all atoms from Rb at (0.0305, 0.2500, 0.1421), Ta at (0.3945, 0.2500, 0.6503), Cr at (0.1765, 0.7500, 0.4598), O at (0.1897, 0.0107, 0.6627), O at (0.2642, 0.7500, 0.2189) and O at (0.4391, 0.2500, 0.4368).